Below is a relaxed structure of Dy2Tm3Al3, with properties calculated at the PBE-GGA level.

Polymorph energy (0 for the lowest one) = 0.018 eV per atom
ΔE_f = -0.2738 eV per atom
DFT total energy = -0.166 hartree per atom
Total magnetization = 0.0001 μB per atom
Crystal system = orthorhombic

abc: 4.7412 4.7453 8.7693
angles: 90.00 90.00 90.00
Atoms (fractional coordinates):
Dy 0.0000 0.0000 0.2304
Dy 0.0000 0.0000 0.7696
Tm 0.0000 0.5000 0.5000
Tm 0.5000 0.5000 0.2255
Tm 0.5000 0.5000 0.7745
Al 0.0000 0.5000 0.0000
Al 0.5000 0.0000 0.0000
Al 0.5000 0.0000 0.5000

---

Below is a relaxed structure of NdPuGeAu, with properties calculated at the PBE-GGA level.

ΔE_f = -0.5456 eV per atom
DFT total energy = -0.268 hartree per atom
Total magnetization = 1.5406 μB per atom
Crystal system = cubic

abc: 5.1934 5.1934 5.1934
angles: 60.00 60.00 60.00
Atoms (fractional coordinates):
Nd 0.0000 0.0000 0.0000
Pu 0.5000 0.5000 0.5000
Ge 0.7500 0.7500 0.7500
Au 0.2500 0.2500 0.2500

---

Below is a relaxed structure of Y4Ho8Pu, with properties calculated at the PBE-GGA level.

ΔE_f = 0.5385 eV per atom
DFT total energy = -0.197 hartree per atom
Total magnetization = 0.4952 μB per atom
Crystal system = cubic

abc: 7.7136 7.7136 7.7136
angles: 90.00 90.00 90.00
Atoms (fractional coordinates):
Y 0.0000 0.0000 0.0000
Y 0.0000 0.5000 0.5000
Y 0.5000 0.0000 0.5000
Y 0.5000 0.5000 0.0000
Ho 0.2452 0.2452 0.2452
Ho 0.2452 0.2452 0.7548
Ho 0.2452 0.7548 0.2452
Ho 0.2452 0.7548 0.7548
Ho 0.7548 0.2452 0.2452
Ho 0.7548 0.2452 0.7548
Ho 0.7548 0.7548 0.2452
Ho 0.7548 0.7548 0.7548
Pu 0.5000 0.5000 0.5000

---

Below is a relaxed structure of Tl2CuBr3Cl, with properties calculated at the PBE-GGA level.

DFT total energy = -0.106 hartree per atom
Total magnetization = 0.1011 μB per atom
Uncorrected formation energy = -0.636 eV/atom
Crystal system = orthorhombic

abc: 8.9409 8.9409 8.9409
angles: 147.80 146.06 47.49
Atoms (fractional coordinates):
Tl 0.1388 0.1388 0.0000
Tl 0.8612 0.8612 0.0000
Cu 0.5000 0.5000 0.0000
Br 0.0000 0.5000 0.5000
Br 0.3445 0.3445 0.0000
Br 0.6555 0.6555 0.0000
Cl 0.5000 0.0000 0.5000

---

Below is a relaxed structure of Hg2GeF, with properties calculated at the PBE-GGA level.

Polymorph energy (0 for the lowest one) = 0.037 eV per atom
DFT total energy = -0.076 hartree per atom
Total magnetization = 0.0000 μB per atom
Uncorrected formation energy = -0.301 eV/atom
Crystal system = cubic

abc: 4.8166 4.8166 4.8166
angles: 60.00 60.00 60.00
Atoms (fractional coordinates):
Hg 0.2500 0.2500 0.2500
Hg 0.7500 0.7500 0.7500
Ge 0.0000 0.0000 0.0000
F 0.5000 0.5000 0.5000

---

Below is a relaxed structure of SrLi2Tl, with properties calculated at the PBE-GGA level.

ΔE_f = -0.1454 eV per atom
DFT total energy = -0.078 hartree per atom
Total magnetization = 0.0001 μB per atom
Crystal system = cubic

abc: 5.4154 5.4154 5.4154
angles: 60.00 60.00 60.00
Atoms (fractional coordinates):
Sr 0.0000 0.0000 0.0000
Li 0.5000 0.5000 0.5000
Li 0.7500 0.7500 0.7500
Tl 0.2500 0.2500 0.2500